Below is a geometry-optimized NaZnSN2 structure, with properties calculated at the PBE-GGA level.

a b c (Å): 4.062 4.062 4.983
angles (deg): 90.00 90.00 90.00
Fractional positions:
Na: 0.000 0.000 0.000
Zn: 0.500 0.500 0.500
S: 0.500 0.500 0.000
N: 0.000 0.500 0.500
N: 0.500 0.000 0.500

SG: P4/mmm (123)
Total magnetic moment, μB/f.u.: 4.02
E above lowest polymorph, meV per atom: 0
VASP energy, eV per atom: -3.56
Formation energy from raw total energies, eV per atom: 1.1164

Below is a geometry-optimized NaZn2SN structure, with properties calculated at the PBE-GGA level.

a b c (Å): 3.943 3.943 5.761
angles (deg): 90.00 90.00 90.00
Fractional positions:
Na: 0.000 0.000 0.000
Zn: 0.000 0.500 0.500
Zn: 0.500 0.000 0.500
S: 0.500 0.500 0.000
N: 0.500 0.500 0.500

SG: P4/mmm (123)
Total magnetic moment, μB/f.u.: 0.00
VASP energy, eV per atom: -3.06
Formation energy from raw total energies, eV per atom: 0.1999

Below is a geometry-optimized NaZnSN2 structure, with properties calculated at the PBE-GGA level.

a b c (Å): 4.273 4.273 5.413
angles (deg): 90.00 90.00 90.00
Fractional positions:
Na: 0.000 0.000 0.000
Zn: 0.500 0.500 0.500
S: 0.000 0.000 0.500
N: 0.000 0.500 0.000
N: 0.500 0.000 0.000

SG: P4/mmm (123)
Total magnetic moment, μB/f.u.: 5.22
E above lowest polymorph, meV per atom: 803
VASP energy, eV per atom: -2.76
Formation energy from raw total energies, eV per atom: 1.9192

Below is a geometry-optimized NaZrSN structure, with properties calculated at the PBE-GGA level.

a b c (Å): 6.772 6.772 6.772
angles (deg): 29.70 29.70 29.70
Fractional positions:
Na: 0.000 0.000 0.000
Zr: 0.191 0.191 0.191
S: 0.769 0.769 0.769
N: 0.571 0.571 0.571

SG: R3m (160)
Total magnetic moment, μB/f.u.: 0.00
VASP energy, eV per atom: -6.89
Formation energy from raw total energies, eV per atom: -1.3105

Below is a geometry-optimized Na2ZrSN structure, with properties calculated at the PBE-GGA level.

a b c (Å): 4.770 4.770 4.707
angles (deg): 90.00 90.00 90.00
Fractional positions:
Na: 0.000 0.500 0.000
Na: 0.500 0.000 0.000
Zr: 0.000 0.000 0.500
S: 0.500 0.500 0.000
N: 0.500 0.500 0.500

SG: P4/mmm (123)
Total magnetic moment, μB/f.u.: 0.00
VASP energy, eV per atom: -3.45
Formation energy from raw total energies, eV per atom: 1.2770

Below is a geometry-optimized NaZrS2N structure, with properties calculated at the PBE-GGA level.

a b c (Å): 4.786 4.786 3.973
angles (deg): 90.00 90.00 90.00
Fractional positions:
Na: 0.000 0.000 0.000
Zr: 0.500 0.500 0.500
S: 0.000 0.500 0.000
S: 0.500 0.000 0.000
N: 0.000 0.000 0.500

SG: P4/mmm (123)
Total magnetic moment, μB/f.u.: 2.07
E above lowest polymorph, meV per atom: 1330
VASP energy, eV per atom: -4.52
Formation energy from raw total energies, eV per atom: 0.7665

Below is a geometry-optimized NaZrSN2 structure, with properties calculated at the PBE-GGA level.

a b c (Å): 4.048 4.048 4.632
angles (deg): 90.00 90.00 90.00
Fractional positions:
Na: 0.000 0.000 0.000
Zr: 0.500 0.500 0.500
S: 0.000 0.000 0.500
N: 0.000 0.500 0.000
N: 0.500 0.000 0.000

SG: P4/mmm (123)
Total magnetic moment, μB/f.u.: 2.80
E above lowest polymorph, meV per atom: 1353
VASP energy, eV per atom: -4.84
Formation energy from raw total energies, eV per atom: 1.2880

Below is a geometry-optimized NaZrS2N structure, with properties calculated at the PBE-GGA level.

a b c (Å): 5.087 5.087 4.280
angles (deg): 90.00 90.00 90.00
Fractional positions:
Na: 0.000 0.000 0.000
Zr: 0.500 0.500 0.500
S: 0.000 0.500 0.500
S: 0.500 0.000 0.500
N: 0.500 0.500 0.000

SG: P4/mmm (123)
Total magnetic moment, μB/f.u.: 1.91
E above lowest polymorph, meV per atom: 0
VASP energy, eV per atom: -5.85
Formation energy from raw total energies, eV per atom: -0.5636

Below is a geometry-optimized NaZrSN2 structure, with properties calculated at the PBE-GGA level.

a b c (Å): 4.332 4.332 5.135
angles (deg): 90.00 90.00 90.00
Fractional positions:
Na: 0.000 0.000 0.000
Zr: 0.500 0.500 0.500
S: 0.500 0.500 0.000
N: 0.000 0.500 0.500
N: 0.500 0.000 0.500

SG: P4/mmm (123)
Total magnetic moment, μB/f.u.: 2.99
E above lowest polymorph, meV per atom: 0
VASP energy, eV per atom: -6.19
Formation energy from raw total energies, eV per atom: -0.0647

Below is a geometry-optimized NaSbN2 structure, with properties calculated at the PBE-GGA level.

a b c (Å): 5.692 5.692 5.692
angles (deg): 121.16 121.16 88.01
Fractional positions:
Na: 0.000 0.000 0.000
Na: 0.750 0.250 0.500
Sb: 0.250 0.750 0.500
Sb: 0.500 0.500 0.000
N: 0.190 0.625 0.065
N: 0.375 0.440 0.565
N: 0.560 0.125 0.935
N: 0.875 0.810 0.435

SG: I-42d (122)
Total magnetic moment, μB/f.u.: 0.00
VASP energy, eV per atom: -5.35
Formation energy from raw total energies, eV per atom: 0.1702

Below is a geometry-optimized Na2Sb2N structure, with properties calculated at the PBE-GGA level.

a b c (Å): 6.575 6.575 5.285
angles (deg): 90.00 90.00 90.00
Fractional positions:
Na: 0.161 0.339 0.000
Na: 0.339 0.839 0.000
Na: 0.661 0.161 0.000
Na: 0.839 0.661 0.000
Sb: 0.172 0.672 0.500
Sb: 0.328 0.172 0.500
Sb: 0.672 0.828 0.500
Sb: 0.828 0.328 0.500
N: 0.000 0.000 0.500
N: 0.500 0.500 0.500

SG: P4/mbm (127)
Total magnetic moment, μB/f.u.: 0.00
E above lowest polymorph, meV per atom: 0
VASP energy, eV per atom: -3.45
Formation energy from raw total energies, eV per atom: 0.3895

Below is a geometry-optimized Na2Sb2N structure, with properties calculated at the PBE-GGA level.

a b c (Å): 8.669 8.669 8.669
angles (deg): 155.44 155.44 35.01
Fractional positions:
Na: 0.250 0.750 0.500
Na: 0.750 0.250 0.500
Sb: 0.082 0.082 0.000
Sb: 0.918 0.918 0.000
N: 0.500 0.500 0.000

SG: I4/mmm (139)
Total magnetic moment, μB/f.u.: 0.00
E above lowest polymorph, meV per atom: 649
VASP energy, eV per atom: -2.80
Formation energy from raw total energies, eV per atom: 1.0381